The following is a GGA-PBE calculation of a relaxed structure of ErThTl, from Alexandria.

Cell: 10.676 11.429 3.611 Å, 90.00 90.00 90.00°
Space group Cmmm (No. 65)
Inequivalent atoms, fractional coordinates:
1 Er 0.224 0.000 0.000 [4 per cell]
2 Th 0.000 0.271 0.500 [4 per cell]
3 Tl 0.000 0.000 0.500 [2 per cell]
4 Tl 0.000 0.500 0.000 [2 per cell]

Calculated values
ΔH_f (0 K) in meV per atom: 435.7

---

The following is a GGA-PBE calculation of a relaxed structure of Nd5Sm8Al, from Alexandria.

Cell: 10.649 10.649 8.431 Å, 90.00 90.00 90.00°
Space group I-4 (No. 82)
Inequivalent atoms, fractional coordinates:
1 Nd 0.000 0.000 0.000 [2 per cell]
2 Nd 0.003 0.807 0.594 [8 per cell]
3 Sm 0.001 0.341 0.925 [8 per cell]
4 Sm 0.196 0.708 0.249 [8 per cell]
5 Al 0.000 0.500 0.250 [2 per cell]

Calculated values
ΔH_f (0 K) in meV per atom: 128.0

---

The following is a GGA-PBE calculation of a relaxed structure of Hf2ZrInC, from Alexandria.

Cell: 5.089 5.089 5.496 Å, 90.00 90.00 90.00°
Space group P4/mmm (No. 123)
Inequivalent atoms, fractional coordinates:
1 Hf 0.000 0.500 0.000 [2 per cell]
2 Zr 0.000 0.000 0.000 [1 per cell]
3 In 0.000 0.000 0.500 [1 per cell]
4 C 0.500 0.500 0.500 [1 per cell]

Calculated values
ΔH_f (0 K) in meV per atom: 2309.9

---

The following is a GGA-PBE calculation of a relaxed structure of TcSeN2Cl, from Alexandria.

Cell: 3.682 3.682 6.660 Å, 90.00 90.00 90.00°
Space group P4/mmm (No. 123)
Inequivalent atoms, fractional coordinates:
1 Tc 0.000 0.000 0.000 [1 per cell]
2 Se 0.500 0.500 0.000 [1 per cell]
3 N 0.000 0.500 0.500 [2 per cell]
4 Cl 0.500 0.500 0.500 [1 per cell]

Calculated values
ΔE_f (raw) in kJ/mol of formula units: 1140

---

The following is a GGA-PBE calculation of a relaxed structure of MgIn3, from Alexandria.

Cell: 11.137 3.533 5.242 Å, 90.00 99.64 90.00°
Space group C2/m (No. 12)
Inequivalent atoms, fractional coordinates:
1 Mg 0.000 0.000 0.000 [2 per cell]
2 In 0.000 0.500 0.500 [2 per cell]
3 In 0.245 0.500 0.248 [4 per cell]

Calculated values
ΔH_f (0 K) in meV per atom: -28.9

---

The following is a GGA-PBE calculation of a relaxed structure of Sr2ReSiSe, from Alexandria.

Cell: 5.753 5.753 4.575 Å, 90.00 90.00 90.00°
Space group P4/mmm (No. 123)
Inequivalent atoms, fractional coordinates:
1 Sr 0.000 0.500 0.000 [2 per cell]
2 Re 0.000 0.000 0.000 [1 per cell]
3 Si 0.000 0.000 0.500 [1 per cell]
4 Se 0.500 0.500 0.500 [1 per cell]

Calculated values
ΔE_f (raw) in kJ/mol of formula units: 18

---

The following is a GGA-PBE calculation of a relaxed structure of ScZn2CoRu, from Alexandria.

Cell: 4.818 4.818 4.103 Å, 90.00 90.00 90.00°
Space group P4/mmm (No. 123)
Inequivalent atoms, fractional coordinates:
1 Sc 0.000 0.000 0.000 [1 per cell]
2 Zn 0.000 0.500 0.000 [2 per cell]
3 Co 0.000 0.000 0.500 [1 per cell]
4 Ru 0.500 0.500 0.500 [1 per cell]

Calculated values
ΔH_f (0 K) in meV per atom: 1426.2

---

The following is a GGA-PBE calculation of a relaxed structure of KSbTe2P, from Alexandria.

Cell: 5.617 5.617 5.111 Å, 90.00 90.00 90.00°
Space group P4/mmm (No. 123)
Inequivalent atoms, fractional coordinates:
1 K 0.000 0.000 0.000 [1 per cell]
2 Sb 0.500 0.500 0.000 [1 per cell]
3 Te 0.000 0.500 0.500 [2 per cell]
4 P 0.500 0.500 0.500 [1 per cell]

Calculated values
ΔE_f (raw) in kJ/mol of formula units: 19